AsSeCl2 | Alexandria | meta-GGA SCAN | single point on PBEsol structure; space group = No. 65; crystal system = orthorhombic; E_tot = -113.98 eV per cell; V = 108 Å³/f.u.; N(E_F) = 0.63 states/eV per atom; raw formation energy = -0.191 eV/atom; ΔE to the lowest computed polymorph = 17 meV/atom
1.0
5.154 0.000 0.000
0.000 12.560 0.000
0.000 0.000 3.335
As Se Cl
2 2 4
Cartesian
0.000 0.000 0.000
2.577 6.280 0.000
0.000 6.280 0.000
2.577 0.000 0.000
0.000 1.813 1.668
0.000 10.747 1.668
2.577 4.467 1.668
2.577 8.093 1.668

---

MgTl | Alexandria | meta-GGA SCAN | single point on PBEsol structure; space group = No. 51; formation energy = -0.124 eV/atom; crystal system = orthorhombic; E_tot = -155.16 eV per cell; V = 47 Å³/f.u.; N(E_F) = 0.36 states/eV per atom
1.0
5.252 0.000 0.000
0.000 3.434 0.000
0.000 0.000 5.247
Mg Tl
2 2
Cartesian
1.313 0.000 1.308
3.939 0.000 3.939
1.313 1.717 3.932
3.939 1.717 1.315

---

ZrBe2Ir2 | Alexandria | meta-GGA SCAN | single point on PBEsol structure; space group = No. 127; formation energy = -0.812 eV/atom; crystal system = tetragonal; E_tot = -371.33 eV per cell; V = 64 Å³/f.u.; N(E_F) = 0.38 states/eV per atom; ΔE to the lowest computed polymorph = 57 meV/atom
1.0
6.733 0.000 0.000
0.000 6.733 0.000
0.000 0.000 2.816
Zr Be Ir
2 4 4
Cartesian
0.000 0.000 0.000
3.367 3.367 0.000
0.792 2.575 0.000
2.575 5.941 0.000
4.158 0.792 0.000
5.941 4.158 0.000
1.143 4.509 1.408
2.224 1.143 1.408
4.509 5.590 1.408
5.590 2.224 1.408

---

CdCoBi3 | Alexandria | meta-GGA SCAN | single point on PBEsol structure; space group = No. 221; formation energy = 0.495 eV/atom; crystal system = cubic; E_tot = -280.98 eV per cell; V = 132 Å³/f.u.; N(E_F) = 1.06 states/eV per atom
1.0
5.089 0.000 0.000
0.000 5.089 0.000
0.000 0.000 5.089
Cd Co Bi
1 1 3
Cartesian
0.000 0.000 0.000
2.544 2.544 2.544
0.000 2.544 2.544
2.544 0.000 2.544
2.544 2.544 0.000

---

Tc2RhBr | Alexandria | meta-GGA SCAN | single point on PBEsol structure; space group = No. 119; crystal system = tetragonal; E_tot = -238.95 eV per cell; V = 59 Å³/f.u.; N(E_F) = 0.94 states/eV per atom; raw formation energy = 0.969 eV/atom; ΔE to the lowest computed polymorph = 505 meV/atom
1.0
4.011 0.000 0.000
0.000 4.011 0.000
0.000 0.000 7.300
Tc Rh Br
4 2 2
Cartesian
0.000 0.000 0.000
0.000 2.005 1.825
2.005 0.000 5.475
2.005 2.005 3.650
0.000 2.005 5.475
2.005 0.000 1.825
0.000 0.000 3.650
2.005 2.005 0.000

---

K2HBr | Alexandria | meta-GGA SCAN | single point on PBEsol structure; space group = No. 122; crystal system = tetragonal; E_tot = -174.97 eV per cell; V = 121 Å³/f.u.; N(E_F) = 0.00 states/eV per atom; ΔE to the lowest computed polymorph = 0 meV/atom
1.0
7.571 0.000 0.000
0.000 7.571 0.000
0.000 0.000 8.456
K H Br
8 4 4
Cartesian
1.432 5.679 1.057
1.893 1.432 7.399
1.893 2.354 3.171
2.354 5.679 5.285
5.217 1.893 5.285
5.679 5.217 3.171
5.679 6.140 7.399
6.140 1.893 1.057
0.000 0.000 0.000
0.000 3.786 2.114
3.786 0.000 6.342
3.786 3.786 4.228
0.000 0.000 4.228
0.000 3.786 6.342
3.786 0.000 2.114
3.786 3.786 0.000

---

ScGeSeN2 | Alexandria | meta-GGA SCAN | single point on PBEsol structure; space group = No. 123; crystal system = tetragonal; E_tot = -69.50 eV per cell; V = 88 Å³/f.u.; N(E_F) = 0.41 states/eV per atom; raw formation energy = 0.497 eV/atom
1.0
4.045 0.000 0.000
0.000 4.045 0.000
0.000 0.000 5.385
Sc Ge Se N
1 1 1 2
Cartesian
0.000 0.000 0.000
2.023 2.023 2.692
0.000 0.000 2.692
0.000 2.023 0.000
2.023 0.000 0.000

---

ZrHgAu2 | Alexandria | meta-GGA SCAN | single point on PBEsol structure; space group = No. 119; formation energy = -0.433 eV/atom; crystal system = tetragonal; E_tot = -477.82 eV per cell; V = 74 Å³/f.u.; N(E_F) = 0.34 states/eV per atom
1.0
4.788 0.000 0.000
0.000 4.788 0.000
0.000 0.000 6.460
Zr Hg Au
2 2 4
Cartesian
0.000 0.000 0.000
2.394 2.394 3.230
0.000 2.394 1.615
2.394 0.000 4.845
0.000 0.000 3.230
0.000 2.394 4.845
2.394 0.000 1.615
2.394 2.394 0.000

---

Ta2NbTlBi | Alexandria | meta-GGA SCAN | single point on PBEsol structure; space group = No. 123; formation energy = 2.413 eV/atom; crystal system = tetragonal; E_tot = -305.17 eV per cell; V = 142 Å³/f.u.; N(E_F) = 1.04 states/eV per atom
1.0
5.104 0.000 0.000
0.000 5.104 0.000
0.000 0.000 5.436
Ta Nb Tl Bi
2 1 1 1
Cartesian
0.000 2.552 0.000
2.552 0.000 0.000
0.000 0.000 2.718
2.552 2.552 2.718
2.552 2.552 0.000

---

KNb2AlSb | Alexandria | meta-GGA SCAN | single point on PBEsol structure; space group = No. 123; crystal system = tetragonal; E_tot = -113.57 eV per cell; V = 123 Å³/f.u.; N(E_F) = 1.05 states/eV per atom; raw formation energy = 1.206 eV/atom
1.0
4.861 0.000 0.000
0.000 4.861 0.000
0.000 0.000 5.194
K Nb Al Sb
1 2 1 1
Cartesian
0.000 0.000 0.000
0.000 2.431 2.597
2.431 0.000 2.597
0.000 0.000 2.597
2.431 2.431 0.000

---

BaGaGe2 | Alexandria | meta-GGA SCAN | single point on PBEsol structure; space group = No. 225; formation energy = 0.055 eV/atom; crystal system = cubic; E_tot = -375.41 eV per cell; V = 95 Å³/f.u.; N(E_F) = 0.59 states/eV per atom
1.0
7.255 0.000 0.000
0.000 7.255 0.000
0.000 0.000 7.255
Ba Ga Ge
4 4 8
Cartesian
0.000 0.000 0.000
0.000 3.627 3.627
3.627 0.000 3.627
3.627 3.627 0.000
0.000 0.000 3.627
0.000 3.627 0.000
3.627 0.000 0.000
3.627 3.627 3.627
1.814 1.814 1.814
1.814 1.814 5.441
1.814 5.441 1.814
1.814 5.441 5.441
5.441 1.814 1.814
5.441 1.814 5.441
5.441 5.441 1.814
5.441 5.441 5.441

---

Dy2Zn17 | Alexandria | meta-GGA SCAN | single point on PBEsol structure; space group = No. 194; formation energy = -0.298 eV/atom; crystal system = hexagonal; E_tot = -662.03 eV per cell; V = 287 Å³/f.u.; N(E_F) = 0.25 states/eV per atom
1.0
8.778 0.000 0.000
-4.389 7.602 0.000
0.000 0.000 8.606
Dy Zn
4 34
Cartesian
0.000 0.000 2.151
0.000 0.000 6.454
0.000 5.068 2.151
4.389 2.534 6.454
-2.195 3.801 0.000
-2.195 3.801 4.303
-1.276 2.787 6.454
-2.613 5.103 6.454
0.000 2.461 0.182
0.000 2.461 4.121
-2.258 6.372 0.182
-2.258 6.372 4.121
2.131 1.231 4.485
2.131 1.231 8.423
1.276 2.787 6.454
-1.337 7.314 6.454
0.000 5.068 5.175
0.000 5.068 7.733
3.052 0.288 2.151
1.776 2.499 2.151
4.389 0.000 0.000
4.389 0.000 4.303
2.195 3.801 0.000
2.195 3.801 4.303
2.613 5.103 6.454
1.337 7.314 6.454
4.389 2.534 0.872
4.389 2.534 3.430
5.726 0.288 2.151
3.113 4.815 2.151
2.258 6.372 0.182
2.258 6.372 4.121
6.647 1.231 4.485
6.647 1.231 8.423
4.389 5.141 4.485
4.389 5.141 8.423
7.003 2.499 2.151
5.666 4.815 2.151

---

Ba2CaAg2 | Alexandria | meta-GGA SCAN | single point on PBEsol structure; space group = No. 127; formation energy = -0.234 eV/atom; crystal system = tetragonal; E_tot = -305.33 eV per cell; V = 172 Å³/f.u.; N(E_F) = 0.64 states/eV per atom
1.0
8.506 0.000 0.000
0.000 8.506 0.000
0.000 0.000 4.755
Ba Ca Ag
4 2 4
Cartesian
1.450 2.803 0.000
2.803 7.056 0.000
5.704 1.450 0.000
7.056 5.704 0.000
0.000 0.000 2.378
4.253 4.253 2.378
1.036 5.289 2.378
3.217 1.036 2.378
5.289 7.470 2.378
7.470 3.217 2.378

---

HgSb2Pt | Alexandria | meta-GGA SCAN | single point on PBEsol structure; space group = No. 12; crystal system = monoclinic; E_tot = -428.42 eV per cell; V = 97 Å³/f.u.; N(E_F) = 0.41 states/eV per atom; raw formation energy = -0.333 eV/atom
1.0
7.005 0.000 0.000
0.000 4.050 0.000
-2.368 0.000 6.847
Hg Sb Pt
2 4 2
Cartesian
0.000 0.000 0.000
3.503 2.025 0.000
-0.016 0.000 4.737
1.151 2.025 2.111
3.486 2.025 4.737
4.654 0.000 2.111
-1.184 2.025 3.424
2.319 0.000 3.424

---

ScGaRe2O | Alexandria | meta-GGA SCAN | single point on PBEsol structure; space group = No. 123; crystal system = tetragonal; E_tot = -179.21 eV per cell; V = 74 Å³/f.u.; N(E_F) = 0.86 states/eV per atom; raw formation energy = -0.041 eV/atom
1.0
3.972 0.000 0.000
0.000 3.972 0.000
0.000 0.000 4.663
Sc Ga Re O
1 1 2 1
Cartesian
0.000 0.000 0.000
1.986 1.986 0.000
0.000 1.986 2.332
1.986 0.000 2.332
1.986 1.986 2.332

---

CdSiCl3 | Alexandria | meta-GGA SCAN | single point on PBEsol structure; space group = No. 221; crystal system = cubic; E_tot = -65.25 eV per cell; V = 128 Å³/f.u.; N(E_F) = 0.38 states/eV per atom; raw formation energy = -0.177 eV/atom
1.0
5.045 0.000 0.000
0.000 5.045 0.000
0.000 0.000 5.045
Cd Si Cl
1 1 3
Cartesian
0.000 0.000 0.000
2.523 2.523 2.523
0.000 0.000 2.523
0.000 2.523 0.000
2.523 0.000 0.000

---

Al2SnIr | Alexandria | meta-GGA SCAN | single point on PBEsol structure; space group = No. 122; formation energy = -0.052 eV/atom; crystal system = tetragonal; E_tot = -490.93 eV per cell; V = 79 Å³/f.u.; N(E_F) = 0.49 states/eV per atom
1.0
7.864 0.000 0.000
0.000 7.864 0.000
0.000 0.000 5.104
Al Sn Ir
8 4 4
Cartesian
1.383 1.966 0.638
1.966 5.315 1.914
1.966 6.480 4.466
2.548 1.966 3.190
5.315 5.898 3.190
5.898 1.383 4.466
5.898 2.548 1.914
6.480 5.898 0.638
0.000 0.000 2.552
0.000 3.932 3.828
3.932 0.000 1.276
3.932 3.932 0.000
0.000 0.000 0.000
0.000 3.932 1.276
3.932 0.000 3.828
3.932 3.932 2.552

---

RbTe2P | Alexandria | meta-GGA SCAN | single point on PBEsol structure; space group = No. 122; crystal system = tetragonal; E_tot = -426.42 eV per cell; V = 148 Å³/f.u.; N(E_F) = 0.12 states/eV per atom; raw formation energy = -0.241 eV/atom
1.0
8.452 0.000 0.000
0.000 8.452 0.000
0.000 0.000 8.272
Rb Te P
4 8 4
Cartesian
0.000 0.000 0.000
0.000 4.226 2.068
4.226 0.000 6.204
4.226 4.226 4.136
1.187 2.113 5.170
2.113 5.413 7.238
2.113 7.264 3.102
3.039 2.113 1.034
5.413 6.339 1.034
6.339 1.187 3.102
6.339 3.039 7.238
7.264 6.339 5.170
0.000 0.000 4.136
0.000 4.226 6.204
4.226 0.000 2.068
4.226 4.226 0.000

---

ScAg2W | Alexandria | meta-GGA SCAN | single point on PBEsol structure; space group = No. 119; formation energy = 0.538 eV/atom; crystal system = tetragonal; E_tot = -289.01 eV per cell; V = 68 Å³/f.u.; N(E_F) = 0.75 states/eV per atom; ΔE to the lowest computed polymorph = 196 meV/atom
1.0
4.016 0.000 0.000
0.000 4.016 0.000
0.000 0.000 8.474
Sc Ag W
2 4 2
Cartesian
0.000 0.000 0.000
2.008 2.008 4.237
0.000 0.000 4.237
0.000 2.008 6.355
2.008 0.000 2.118
2.008 2.008 0.000
0.000 2.008 2.118
2.008 0.000 6.355

---

Be2AlNi2 | Alexandria | meta-GGA SCAN | single point on PBEsol structure; space group = No. 127; formation energy = -0.524 eV/atom; crystal system = tetragonal; E_tot = -102.85 eV per cell; V = 49 Å³/f.u.; N(E_F) = 0.38 states/eV per atom
1.0
6.139 0.000 0.000
0.000 6.139 0.000
0.000 0.000 2.590
Be Al Ni
4 2 4
Cartesian
0.750 2.320 0.000
2.320 5.390 0.000
3.819 0.750 0.000
5.390 3.819 0.000
0.000 0.000 0.000
3.070 3.070 0.000
1.050 4.120 1.295
2.020 1.050 1.295
4.120 5.089 1.295
5.089 2.020 1.295

---

SrReRh2 | Alexandria | meta-GGA SCAN | single point on PBEsol structure; space group = No. 8; formation energy = 0.332 eV/atom; crystal system = monoclinic; E_tot = -319.18 eV per cell; V = 72 Å³/f.u.; N(E_F) = 0.77 states/eV per atom
1.0
9.330 0.000 0.000
0.000 2.842 0.000
-0.956 0.000 5.466
Sr Re Rh
2 2 4
Cartesian
0.000 0.000 0.000
4.665 1.421 0.000
1.478 0.000 3.406
6.143 1.421 3.406
2.208 1.421 1.456
4.123 0.000 2.799
6.873 0.000 1.456
8.788 1.421 2.799

---

Li4Cu2Ni3Sb3O16 | Alexandria | meta-GGA SCAN | single point on PBEsol structure; space group = No. 8; crystal system = monoclinic; E_tot = -341.44 eV per cell; V = 287 Å³/f.u.; N(E_F) = 0.15 states/eV per atom; raw formation energy = -1.481 eV/atom
1.0
5.063 -2.993 0.000
5.063 2.993 0.000
-0.313 0.000 9.484
Li Cu Ni Sb O
4 2 3 3 16
Cartesian
0.000 0.000 0.000
1.943 0.000 1.849
4.971 0.000 5.320
8.756 0.000 4.336
1.661 0.000 4.463
4.706 0.000 9.190
-0.175 0.000 7.011
4.419 1.479 2.291
4.419 -1.479 2.291
2.327 1.497 7.162
2.327 -1.497 7.162
6.922 0.000 2.230
0.164 0.000 3.259
2.780 1.534 3.302
4.055 1.607 8.118
1.507 0.000 8.236
5.828 1.653 5.950
3.091 0.000 5.982
5.973 1.415 1.176
3.779 0.000 1.236
5.212 0.000 3.310
2.780 -1.534 3.302
6.544 0.000 8.195
4.055 -1.607 8.118
8.193 0.000 6.057
5.973 -1.415 1.176
8.733 0.000 1.331
5.828 -1.653 5.950

---

Tl2HgSb | Alexandria | meta-GGA SCAN | single point on PBEsol structure; space group = No. 225; crystal system = cubic; E_tot = -1000.56 eV per cell; V = 109 Å³/f.u.; N(E_F) = 0.39 states/eV per atom; raw formation energy = 0.001 eV/atom; ΔE to the lowest computed polymorph = 0 meV/atom
1.0
7.593 0.000 0.000
0.000 7.593 0.000
0.000 0.000 7.593
Tl Hg Sb
8 4 4
Cartesian
1.898 1.898 1.898
1.898 1.898 5.695
1.898 5.695 1.898
1.898 5.695 5.695
5.695 1.898 1.898
5.695 1.898 5.695
5.695 5.695 1.898
5.695 5.695 5.695
0.000 0.000 0.000
0.000 3.797 3.797
3.797 0.000 3.797
3.797 3.797 0.000
0.000 0.000 3.797
0.000 3.797 0.000
3.797 0.000 0.000
3.797 3.797 3.797

---

Ga3Cu3SiSe8 | Alexandria | meta-GGA SCAN | single point on PBEsol structure; space group = No. 81; crystal system = tetragonal; E_tot = -272.96 eV per cell; V = 329 Å³/f.u.; raw formation energy = -0.512 eV/atom
1.0
5.556 0.000 0.000
0.000 5.556 0.000
0.000 0.000 10.653
Ga Cu Si Se
3 3 1 8
Cartesian
0.000 0.000 0.000
0.000 2.778 2.753
2.778 0.000 7.900
0.000 2.778 7.847
2.778 0.000 2.807
2.778 2.778 0.000
2.778 2.778 5.327
1.358 1.377 6.482
1.377 4.119 9.266
1.377 4.198 4.172
1.437 1.377 1.387
4.119 4.179 1.387
4.179 1.358 4.172
4.179 1.437 9.266
4.198 4.179 6.482